(1)
The following is a DFT calculation (PBE-GGA) of an optimized crystal structure of Ta2FePdRu. Values from VASP.

The final energy is -7.59 eV/atom.

```
&SYSTEM
  ibrav = 0, nat = 5, ntyp = 4
/
ATOMIC_SPECIES
Fe 55.84 Fe.upf
Ta 180.95 Ta.upf
Ru 101.07 Ru.upf
Pd 106.42 Pd.upf
ATOMIC_POSITIONS crystal
Fe 0.0000 0.5000 0.0000
Ta 0.0000 0.0000 0.5000
Ta 0.5000 0.0000 0.0000
Ru 0.5000 0.5000 0.5000
Pd 0.0000 0.0000 0.0000
CELL_PARAMETERS angstrom
4.7525 0.0000 0.0000
0.0000 4.3486 0.0000
0.0000 0.0000 4.7525
```



(2)
The following is a DFT calculation (PBE-GGA) of an optimized crystal structure of Ho2Tc3Ni. Values from VASP.

The final energy is -7.93 eV/atom.

```
&SYSTEM
  ibrav = 0, nat = 6, ntyp = 3
/
ATOMIC_SPECIES
Ho 164.93 Ho.upf
Ni 58.69 Ni.upf
Tc 98.00 Tc.upf
ATOMIC_POSITIONS crystal
Ho 0.7520 0.3760 0.1280
Ho 0.2480 0.6240 0.8720
Ni 0.0000 0.0000 0.0000
Tc 0.5000 0.5000 0.5000
Tc 0.5000 0.0000 0.5000
Tc 0.0000 0.0000 0.5000
CELL_PARAMETERS angstrom
4.6016 -0.1353 -2.4079
-2.9276 4.2858 -0.2277
-0.0757 0.2440 5.4536
```



(3)
The following is a DFT calculation (PBE-GGA) of an optimized crystal structure of BeRh3. Values from VASP.

The final energy is -6.38 eV/atom.

```
&SYSTEM
  ibrav = 0, nat = 4, ntyp = 2
/
ATOMIC_SPECIES
Rh 102.91 Rh.upf
Be 9.01 Be.upf
ATOMIC_POSITIONS crystal
Rh 0.7500 0.7500 0.7500
Rh 0.5000 0.5000 0.5000
Rh 0.2500 0.2500 0.2500
Be 0.0000 0.0000 0.0000
CELL_PARAMETERS angstrom
-3.3383 -2.1169 1.4933
-0.9082 -3.8440 -1.5012
0.5744 -3.4078 2.4315
```



(4)
The following is a DFT calculation (PBE-GGA) of an optimized crystal structure of Nd2EuY. Values from VASP.

The offset from the most stable computed form comes out at 0.37 eV/f.u.

```
&SYSTEM
  ibrav = 0, nat = 4, ntyp = 3
/
ATOMIC_SPECIES
Nd 144.24 Nd.upf
Y 88.91 Y.upf
Eu 151.96 Eu.upf
ATOMIC_POSITIONS crystal
Nd 0.7500 0.7500 0.7500
Nd 0.2500 0.2500 0.2500
Y 0.5000 0.5000 0.5000
Eu 0.0000 0.0000 0.0000
CELL_PARAMETERS angstrom
5.8650 0.0000 0.0000
2.9325 5.0792 0.0000
2.9325 1.6931 4.7888
```



(5)
The following is a DFT calculation (PBE-GGA) of an optimized crystal structure of AcPmAgGe. Values from VASP.

The final energy is -4.53 eV/atom.

```
&SYSTEM
  ibrav = 0, nat = 4, ntyp = 4
/
ATOMIC_SPECIES
Ag 107.87 Ag.upf
Ge 72.64 Ge.upf
Pm 145.00 Pm.upf
Ac 227.00 Ac.upf
ATOMIC_POSITIONS crystal
Ag 0.7500 0.7500 0.7500
Ge 0.2500 0.2500 0.2500
Pm 0.0000 0.0000 0.0000
Ac 0.5000 0.5000 0.5000
CELL_PARAMETERS angstrom
-1.7824 -4.9954 0.9745
0.7051 -2.2129 4.8669
-4.2326 -0.7660 3.2526
```



(6)
The following is a DFT calculation (PBE-GGA) of an optimized crystal structure of AgTe3Au. Values from VASP.

The calculation puts the energy relative to the elements, uncorrected at 0.051 eV per atom. The offset from the most stable computed form comes out at 0.00 eV/f.u.

```
&SYSTEM
  ibrav = 0, nat = 20, ntyp = 3
/
ATOMIC_SPECIES
Te 127.60 Te.upf
Ag 107.87 Ag.upf
Au 196.97 Au.upf
ATOMIC_POSITIONS crystal
Te 0.3289 0.3698 0.4044
Te 0.8289 0.4044 0.3698
Te 0.8969 0.0471 0.2312
Te 0.1031 0.9529 0.7688
Te 0.9457 0.3254 0.8841
Te 0.4457 0.8841 0.3254
Te 0.1711 0.5956 0.6302
Te 0.6031 0.7688 0.9529
Te 0.6711 0.6302 0.5956
Te 0.3969 0.2312 0.0471
Te 0.5543 0.1159 0.6746
Te 0.0543 0.6746 0.1159
Ag 0.2500 0.2776 0.7224
Ag 0.7500 0.0608 0.9392
Ag 0.7500 0.7224 0.2776
Ag 0.2500 0.9392 0.0608
Au 0.9006 0.6608 0.8287
Au 0.5994 0.1713 0.3392
Au 0.4006 0.8287 0.6608
Au 0.0994 0.3392 0.1713
CELL_PARAMETERS angstrom
-2.1787 6.8561 -3.4612
-2.0882 -4.4083 -7.1893
-8.1252 -1.2870 2.7935
```



> Number 5 is which compound?

AcPmAgGe



Copy entry 6 word for word.
The following is a DFT calculation (PBE-GGA) of an optimized crystal structure of AgTe3Au. Values from VASP.

The calculation puts the energy relative to the elements, uncorrected at 0.051 eV per atom. The offset from the most stable computed form comes out at 0.00 eV/f.u.

```
&SYSTEM
  ibrav = 0, nat = 20, ntyp = 3
/
ATOMIC_SPECIES
Te 127.60 Te.upf
Ag 107.87 Ag.upf
Au 196.97 Au.upf
ATOMIC_POSITIONS crystal
Te 0.3289 0.3698 0.4044
Te 0.8289 0.4044 0.3698
Te 0.8969 0.0471 0.2312
Te 0.1031 0.9529 0.7688
Te 0.9457 0.3254 0.8841
Te 0.4457 0.8841 0.3254
Te 0.1711 0.5956 0.6302
Te 0.6031 0.7688 0.9529
Te 0.6711 0.6302 0.5956
Te 0.3969 0.2312 0.0471
Te 0.5543 0.1159 0.6746
Te 0.0543 0.6746 0.1159
Ag 0.2500 0.2776 0.7224
Ag 0.7500 0.0608 0.9392
Ag 0.7500 0.7224 0.2776
Ag 0.2500 0.9392 0.0608
Au 0.9006 0.6608 0.8287
Au 0.5994 0.1713 0.3392
Au 0.4006 0.8287 0.6608
Au 0.0994 0.3392 0.1713
CELL_PARAMETERS angstrom
-2.1787 6.8561 -3.4612
-2.0882 -4.4083 -7.1893
-8.1252 -1.2870 2.7935
```